# 1
Entry from the Alexandria database: a relaxed TbDy8Th6 crystal (PBE).

Results
- Total magnetic moment: 0.00 μB/f.u.
- Energy relative to the elements: 0.1563 eV per atom

a b c (Å): 8.7450 8.7450 8.7450
angles (deg): 60.80 60.80 60.80
Closest atoms and distances in Å follow each position.
Atoms (fractional coordinates):
Dy  0.6743  0.8041  0.1206  5 Dy 3.37-3.52, 3 Th 3.42-3.56, 1 Tb 3.50
Dy  0.1959  0.8794  0.3257  5 Dy 3.37-3.52, 3 Th 3.42-3.56, 1 Tb 3.50
Dy  0.3257  0.1959  0.8794  5 Dy 3.37-3.52, 3 Th 3.42-3.56, 1 Tb 3.50
Dy  0.8794  0.3257  0.1959  5 Dy 3.37-3.52, 3 Th 3.42-3.56, 1 Tb 3.50
Dy  0.8041  0.1206  0.6743  5 Dy 3.37-3.52, 3 Th 3.42-3.56, 1 Tb 3.50
Dy  0.1206  0.6743  0.8041  5 Dy 3.37-3.52, 3 Th 3.42-3.56, 1 Tb 3.50
Dy  0.5803  0.5803  0.5803  4 Dy 3.37-3.42, 6 Th 3.42-3.76
Dy  0.4197  0.4197  0.4197  4 Dy 3.37-3.42, 6 Th 3.42-3.76
Th  0.0732  0.5349  0.2650  5 Dy 3.42-3.76, 1 Tb 3.47, 5 Th 3.48-3.80
Th  0.4651  0.7350  0.9268  5 Dy 3.42-3.76, 1 Tb 3.47, 5 Th 3.48-3.80
Th  0.7350  0.9268  0.4651  5 Dy 3.42-3.76, 1 Tb 3.47, 5 Th 3.48-3.80
Th  0.5349  0.2650  0.0732  5 Dy 3.42-3.76, 1 Tb 3.47, 5 Th 3.48-3.80
Th  0.9268  0.4651  0.7350  5 Dy 3.42-3.76, 1 Tb 3.47, 5 Th 3.48-3.80
Th  0.2650  0.0732  0.5349  5 Dy 3.42-3.76, 1 Tb 3.47, 5 Th 3.48-3.80
Tb  0.0000  0.0000  0.0000  6 Th 3.47, 6 Dy 3.50

***

# 2
Entry from the Alexandria database: a relaxed Tb2Dy7Th2 crystal (PBE).

Results
- Total magnetic moment: 0.00 μB/f.u.
- Energy relative to the elements: 0.1448 eV per atom
- Energy relative to the lowest polymorph listed for this composition: 0 meV/atom

a b c (Å): 6.5127 6.5127 8.7456
angles (deg): 98.18 98.18 95.30
Closest atoms and distances in Å follow each position.
Atoms (fractional coordinates):
Dy  0.1486  0.1486  0.4102  2 Dy 3.32-3.55, 1 Tb 3.39, 4 Th 3.46-3.54
Dy  0.5530  0.9156  0.2037  2 Th 3.39-3.63, 3 Tb 3.42-3.54, 4 Dy 3.49-3.75
Dy  0.0000  0.0000  0.0000  2 Tb 3.39, 6 Dy 3.55-3.66
Dy  0.0844  0.4470  0.7963  2 Th 3.39-3.63, 3 Tb 3.42-3.54, 4 Dy 3.49-3.75
Dy  0.4470  0.0844  0.7963  2 Th 3.39-3.63, 3 Tb 3.42-3.54, 4 Dy 3.49-3.75
Dy  0.8514  0.8514  0.5898  2 Dy 3.32-3.55, 1 Tb 3.39, 4 Th 3.46-3.54
Dy  0.9156  0.5530  0.2037  2 Th 3.39-3.63, 3 Tb 3.42-3.54, 4 Dy 3.49-3.75
Tb  0.3890  0.3890  0.1528  8 Dy 3.39-3.54, 2 Th 3.43, 1 Tb 3.63
Tb  0.6110  0.6110  0.8472  8 Dy 3.39-3.54, 2 Th 3.43, 1 Tb 3.63
Th  0.3246  0.6754  0.5000  1 Th 3.38, 8 Dy 3.39-3.63, 2 Tb 3.43
Th  0.6754  0.3246  0.5000  1 Th 3.38, 8 Dy 3.39-3.63, 2 Tb 3.43

***

# 3
Entry from the Alexandria database: a relaxed Tb2Dy3Th4 crystal (PBE).

Results
- Total magnetic moment: 0.00 μB/f.u.
- Energy relative to the elements: 0.0345 eV per atom

a b c (Å): 5.0398 7.9457 14.6269
angles (deg): 144.13 90.00 108.49
Closest atoms and distances in Å follow each position.
Atoms (fractional coordinates):
Th  0.1098  0.2195  0.3331  3 Tb 3.51-3.53, 4 Dy 3.51-3.58, 5 Th 3.55-3.58
Th  0.6658  0.3315  0.9964  5 Dy 3.45-3.58, 5 Th 3.51-3.57, 2 Tb 3.54-3.63
Th  0.8902  0.7805  0.6669  3 Tb 3.51-3.53, 4 Dy 3.51-3.58, 5 Th 3.55-3.58
Th  0.3342  0.6685  0.0036  5 Dy 3.45-3.58, 5 Th 3.51-3.57, 2 Tb 3.54-3.63
Dy  0.0000  0.0000  0.0000  6 Th 3.56-3.58, 4 Tb 3.57, 2 Dy 3.59
Dy  0.4442  0.8885  0.3290  6 Th 3.45-3.58, 2 Dy 3.59-3.67, 4 Tb 3.60-3.64
Dy  0.5558  0.1115  0.6710  6 Th 3.45-3.58, 2 Dy 3.59-3.67, 4 Tb 3.60-3.64
Tb  0.2266  0.4532  0.6674  5 Th 3.51-3.63, 6 Dy 3.57-3.64, 1 Tb 3.67
Tb  0.7734  0.5468  0.3326  5 Th 3.51-3.63, 6 Dy 3.57-3.64, 1 Tb 3.67

***

# 4
Entry from the Alexandria database: a relaxed Tb7DyTh3 crystal (PBE).

Results
- Total magnetic moment: 0.00 μB/f.u.
- Energy relative to the elements: 0.2100 eV per atom
- Energy relative to the lowest polymorph listed for this composition: 56 meV/atom

a b c (Å): 8.5545 7.0852 7.0853
angles (deg): 120.00 90.00 90.00
Closest atoms and distances in Å follow each position.
Atoms (fractional coordinates):
Tb  0.4526  0.8319  0.1681  2 Th 3.48, 7 Tb 3.51-3.57, 2 Dy 3.54
Tb  0.1099  0.6667  0.3333  3 Th 3.47, 9 Tb 3.54-3.56
Tb  0.4526  0.8319  0.6639  2 Th 3.48, 7 Tb 3.51-3.57, 2 Dy 3.54
Tb  0.4526  0.3361  0.1681  2 Th 3.48, 7 Tb 3.51-3.57, 2 Dy 3.54
Tb  0.1140  0.1682  0.8318  2 Th 3.49, 8 Tb 3.51-3.57, 1 Dy 3.56
Tb  0.1140  0.6637  0.8318  2 Th 3.49, 8 Tb 3.51-3.57, 1 Dy 3.56
Tb  0.1140  0.1682  0.3363  2 Th 3.49, 8 Tb 3.51-3.57, 1 Dy 3.56
Th  0.7831  0.4998  0.5002  1 Dy 3.46, 5 Tb 3.47-3.49, 4 Th 3.54-3.55
Th  0.7831  0.0003  0.5002  1 Dy 3.46, 5 Tb 3.47-3.49, 4 Th 3.54-3.55
Th  0.7831  0.4998  0.9997  1 Dy 3.46, 5 Tb 3.47-3.49, 4 Th 3.54-3.55
Dy  0.4561  0.3333  0.6667  3 Th 3.46, 9 Tb 3.54-3.56

***

# 5
Entry from the Alexandria database: a relaxed Tb3Dy4Th crystal (PBE).

Results
- Total magnetic moment: 0.00 μB/f.u.
- Energy relative to the elements: 0.1698 eV per atom
- Energy relative to the lowest polymorph listed for this composition: 141 meV/atom

a b c (Å): 3.4512 6.7421 11.7613
angles (deg): 106.67 98.44 90.00
Closest atoms and distances in Å follow each position.
Atoms (fractional coordinates):
Tb  0.1238  0.8839  0.2476  5 Dy 3.23-3.53, 3 Tb 3.27-3.45
Tb  0.8762  0.1161  0.7524  5 Dy 3.23-3.53, 3 Tb 3.27-3.45
Tb  0.0000  0.5000  0.0000  4 Tb 3.27-3.45, 2 Dy 3.28
Dy  0.7414  0.2415  0.4827  9 Dy 3.45-3.81, 3 Tb 3.48-3.53
Dy  0.8759  0.6366  0.7518  3 Tb 3.23-3.51, 5 Dy 3.45-3.52
Dy  0.1241  0.3634  0.2482  3 Tb 3.23-3.51, 5 Dy 3.45-3.52
Dy  0.2586  0.7585  0.5173  9 Dy 3.45-3.81, 3 Tb 3.48-3.53
Th  0.5000  0.0000  0.0000  2 Th 3.45, 8 Tb 3.63-3.79, 4 Dy 3.64

***

# 6
Entry from the Alexandria database: a relaxed Tb3Dy6Th crystal (PBE).

Results
- Total magnetic moment: 0.00 μB/f.u.
- Energy relative to the elements: 0.2948 eV per atom
- Energy relative to the lowest polymorph listed for this composition: 170 meV/atom

a b c (Å): 9.8210 9.8210 6.8948
angles (deg): 44.59 44.59 60.00
Closest atoms and distances in Å follow each position.
Atoms (fractional coordinates):
Dy  0.0666  0.3999  0.8001  3 Tb 3.27-3.44
Dy  0.3999  0.7334  0.8001  3 Tb 3.27-3.44
Dy  0.7334  0.0666  0.8001  3 Tb 3.27-3.44
Dy  0.8999  0.5703  0.3003  1 Th 3.24, 2 Tb 3.41
Dy  0.2296  0.8999  0.3003  1 Th 3.24, 2 Tb 3.41
Dy  0.5703  0.2296  0.3003  1 Th 3.24, 2 Tb 3.41
Tb  0.4001  0.4001  0.7998  2 Tb 2.85
Tb  0.1579  0.1579  0.5264  1 Tb 2.85, 1 Th 3.03
Tb  0.6423  0.6423  0.0730  1 Tb 2.85, 1 Th 3.03
Th  0.9000  0.9000  0.2999  2 Tb 3.03, 3 Dy 3.24

***

> Number 5 is which compound?

Tb3Dy4Th

***

> What is the formula in the fifth record?

Tb3Dy4Th

***

> total magnetic moment of number 2 (Tb2Dy7Th2)?

0.00 μB/f.u.